# NdErTm2Au4 GGA-PBE relaxed
data_NdErTm2Au4
_chemical_formula_sum 'Nd1 Er1 Tm2 Au4'
_cell_length_a 5.061
_cell_length_b 5.061
_cell_length_c 8.930
_cell_angle_alpha 73.54
_cell_angle_beta 73.54
_cell_angle_gamma 60.00
_symmetry_space_group_name_H-M 'P 1'
_symmetry_Int_Tables_number 1
loop_
_symmetry_equiv_pos_as_xyz
'x,y,z'
loop_
_atom_site_label
_atom_site_fract_x
_atom_site_fract_y
_atom_site_fract_z
Er1 0.500 0.500 0.500
Au1 0.872 0.872 0.384
Au2 0.128 0.128 0.616
Au3 0.382 0.382 0.855
Au4 0.618 0.618 0.145
Tm1 0.752 0.752 0.745
Tm2 0.248 0.248 0.255
Nd1 0.000 0.000 0.000
# space-group type: R-3m
# E: -4.772 eV/atom

---

# NdEr2TmAu4 GGA-PBE relaxed
data_NdEr2TmAu4
_chemical_formula_sum 'Nd1 Er2 Tm1 Au4'
_cell_length_a 5.066
_cell_length_b 5.066
_cell_length_c 8.942
_cell_angle_alpha 73.54
_cell_angle_beta 73.54
_cell_angle_gamma 60.00
_symmetry_space_group_name_H-M 'P 1'
_symmetry_Int_Tables_number 1
loop_
_symmetry_equiv_pos_as_xyz
'x,y,z'
loop_
_atom_site_label
_atom_site_fract_x
_atom_site_fract_y
_atom_site_fract_z
Nd1 0.000 0.000 0.000
Au1 0.618 0.618 0.146
Au2 0.872 0.872 0.385
Au3 0.128 0.128 0.615
Au4 0.382 0.382 0.854
Er1 0.752 0.752 0.745
Er2 0.248 0.248 0.255
Tm1 0.500 0.500 0.500
# space-group type: R-3m
# E: -4.782 eV/atom

---

# Er4Ni3Au GGA-PBE relaxed
data_Er4Ni3Au
_chemical_formula_sum 'Er4 Ni3 Au1'
_cell_length_a 3.684
_cell_length_b 4.395
_cell_length_c 10.140
_cell_angle_alpha 90.00
_cell_angle_beta 90.00
_cell_angle_gamma 90.00
_symmetry_space_group_name_H-M 'P 1'
_symmetry_Int_Tables_number 1
loop_
_symmetry_equiv_pos_as_xyz
'x,y,z'
loop_
_atom_site_label
_atom_site_fract_x
_atom_site_fract_y
_atom_site_fract_z
Ni1 0.000 0.500 0.574
Ni2 0.000 0.000 0.428
Ni3 0.500 0.000 0.916
Er1 0.000 0.500 0.849
Er2 0.500 0.000 0.638
Er3 0.500 0.500 0.372
Er4 0.000 0.000 0.145
Au1 0.500 0.500 0.078
# space-group type: Pmm2
# E: -5.426 eV/atom

---

# ErNiAu GGA-PBE relaxed
data_ErNiAu
_chemical_formula_sum 'Er1 Ni1 Au1'
_cell_length_a 3.522
_cell_length_b 4.372
_cell_length_c 4.372
_cell_angle_alpha 120.00
_cell_angle_beta 90.00
_cell_angle_gamma 90.00
_symmetry_space_group_name_H-M 'P 1'
_symmetry_Int_Tables_number 1
loop_
_symmetry_equiv_pos_as_xyz
'x,y,z'
loop_
_atom_site_label
_atom_site_fract_x
_atom_site_fract_y
_atom_site_fract_z
Er1 0.667 0.667 0.333
Ni1 0.166 0.333 0.667
Au1 0.167 0.000 0.000
# space-group type: P-6m2
# E: -5.090 eV/atom

---

# Er8Ni3Au2 GGA-PBE relaxed
data_Er8Ni3Au2
_chemical_formula_sum 'Er8 Ni3 Au2'
_cell_length_a 6.746
_cell_length_b 7.177
_cell_length_c 8.054
_cell_angle_alpha 116.46
_cell_angle_beta 105.29
_cell_angle_gamma 90.00
_symmetry_space_group_name_H-M 'P 1'
_symmetry_Int_Tables_number 1
loop_
_symmetry_equiv_pos_as_xyz
'x,y,z'
loop_
_atom_site_label
_atom_site_fract_x
_atom_site_fract_y
_atom_site_fract_z
Au1 0.311 0.263 0.525
Au2 0.689 0.737 0.475
Ni1 0.000 0.186 0.000
Ni2 0.500 0.000 0.000
Ni3 0.000 0.814 0.000
Er1 0.616 0.641 0.773
Er2 0.384 0.868 0.227
Er3 0.909 0.594 0.188
Er4 0.125 0.859 0.719
Er5 0.616 0.132 0.773
Er6 0.384 0.359 0.227
Er7 0.875 0.141 0.281
Er8 0.091 0.406 0.812
# space-group type: C2/m
# E: -5.023 eV/atom

---

# Er6NiAu2 GGA-PBE relaxed
data_Er6NiAu2
_chemical_formula_sum 'Er12 Ni2 Au4'
_cell_length_a 6.693
_cell_length_b 7.159
_cell_length_c 9.893
_cell_angle_alpha 90.00
_cell_angle_beta 89.28
_cell_angle_gamma 90.00
_symmetry_space_group_name_H-M 'P 1'
_symmetry_Int_Tables_number 1
loop_
_symmetry_equiv_pos_as_xyz
'x,y,z'
loop_
_atom_site_label
_atom_site_fract_x
_atom_site_fract_y
_atom_site_fract_z
Er1 0.364 0.522 0.748
Er2 0.169 0.312 0.060
Er3 0.331 0.812 0.440
Er4 0.685 0.185 0.939
Er5 0.831 0.688 0.940
Er6 0.815 0.685 0.561
Er7 0.136 0.022 0.752
Er8 0.636 0.478 0.252
Er9 0.669 0.188 0.560
Er10 0.864 0.978 0.248
Er11 0.315 0.815 0.061
Er12 0.185 0.315 0.439
Ni1 0.000 0.000 0.500
Ni2 0.500 0.500 0.000
Au1 0.950 0.393 0.752
Au2 0.050 0.607 0.248
Au3 0.450 0.107 0.252
Au4 0.550 0.893 0.748
# space-group type: P2_1/c
# E: -4.878 eV/atom

---

# Er3NiAu GGA-PBE relaxed
data_Er3NiAu
_chemical_formula_sum 'Er6 Ni2 Au2'
_cell_length_a 4.045
_cell_length_b 6.912
_cell_length_c 8.751
_cell_angle_alpha 90.00
_cell_angle_beta 90.00
_cell_angle_gamma 90.00
_symmetry_space_group_name_H-M 'P 1'
_symmetry_Int_Tables_number 1
loop_
_symmetry_equiv_pos_as_xyz
'x,y,z'
loop_
_atom_site_label
_atom_site_fract_x
_atom_site_fract_y
_atom_site_fract_z
Au1 0.750 0.250 0.170
Au2 0.250 0.750 0.830
Er1 0.750 0.997 0.665
Er2 0.750 0.750 0.066
Er3 0.750 0.503 0.665
Er4 0.250 0.003 0.335
Er5 0.250 0.497 0.335
Er6 0.250 0.250 0.934
Ni1 0.250 0.250 0.595
Ni2 0.750 0.750 0.405
# space-group type: Pmmn
# excess energy over the best structure of this formula in the dataset: 28 meV/atom

---

# Er2Ni15Au2 GGA-PBE relaxed
data_Er2Ni15Au2
_chemical_formula_sum 'Er2 Ni15 Au2'
_cell_length_a 6.349
_cell_length_b 6.349
_cell_length_c 6.349
_cell_angle_alpha 83.40
_cell_angle_beta 83.40
_cell_angle_gamma 83.40
_symmetry_space_group_name_H-M 'P 1'
_symmetry_Int_Tables_number 1
loop_
_symmetry_equiv_pos_as_xyz
'x,y,z'
loop_
_atom_site_label
_atom_site_fract_x
_atom_site_fract_y
_atom_site_fract_z
Ni1 0.000 0.500 0.000
Ni2 0.650 0.164 0.650
Ni3 0.304 0.000 0.696
Ni4 0.500 0.000 0.000
Ni5 0.350 0.350 0.836
Ni6 0.350 0.836 0.350
Ni7 0.000 0.696 0.304
Ni8 0.696 0.000 0.304
Ni9 0.000 0.304 0.696
Ni10 0.164 0.650 0.650
Ni11 0.650 0.650 0.164
Ni12 0.000 0.000 0.500
Ni13 0.304 0.696 0.000
Ni14 0.696 0.304 0.000
Ni15 0.836 0.350 0.350
Er1 0.652 0.652 0.652
Er2 0.348 0.348 0.348
Au1 0.890 0.890 0.890
Au2 0.110 0.110 0.110
# space-group type: R-3m
# E: -5.578 eV/atom

---

# ErNiAu GGA-PBE relaxed
data_ErNiAu
_chemical_formula_sum 'Er1 Ni1 Au1'
_cell_length_a 3.535
_cell_length_b 3.535
_cell_length_c 5.105
_cell_angle_alpha 110.25
_cell_angle_beta 110.25
_cell_angle_gamma 90.00
_symmetry_space_group_name_H-M 'P 1'
_symmetry_Int_Tables_number 1
loop_
_symmetry_equiv_pos_as_xyz
'x,y,z'
loop_
_atom_site_label
_atom_site_fract_x
_atom_site_fract_y
_atom_site_fract_z
Ni1 0.952 0.952 0.904
Er1 0.610 0.610 0.221
Au1 0.288 0.288 0.575
# space-group type: I4mm
# E: -5.056 eV/atom

---

# ErNi5Au GGA-PBE relaxed
data_ErNi5Au
_chemical_formula_sum 'Er4 Ni20 Au4'
_cell_length_a 4.832
_cell_length_b 7.948
_cell_length_c 10.176
_cell_angle_alpha 90.00
_cell_angle_beta 90.00
_cell_angle_gamma 90.00
_symmetry_space_group_name_H-M 'P 1'
_symmetry_Int_Tables_number 1
loop_
_symmetry_equiv_pos_as_xyz
'x,y,z'
loop_
_atom_site_label
_atom_site_fract_x
_atom_site_fract_y
_atom_site_fract_z
Ni1 0.999 0.432 0.185
Ni2 0.250 0.447 0.392
Ni3 0.750 0.553 0.608
Ni4 0.501 0.932 0.315
Ni5 0.499 0.568 0.815
Ni6 0.750 0.409 0.981
Ni7 0.001 0.568 0.815
Ni8 0.750 0.813 0.744
Ni9 0.750 0.313 0.756
Ni10 0.250 0.591 0.019
Ni11 0.250 0.187 0.256
Ni12 0.001 0.068 0.685
Ni13 0.250 0.091 0.481
Ni14 0.999 0.932 0.315
Ni15 0.750 0.053 0.892
Ni16 0.750 0.909 0.519
Ni17 0.250 0.947 0.108
Ni18 0.501 0.432 0.185
Ni19 0.499 0.068 0.685
Ni20 0.250 0.687 0.244
Au1 0.750 0.635 0.362
Au2 0.750 0.135 0.138
Au3 0.250 0.365 0.638
Au4 0.250 0.865 0.862
Er1 0.250 0.743 0.561
Er2 0.750 0.757 0.061
Er3 0.750 0.257 0.439
Er4 0.250 0.243 0.939
# space-group type: Pnma
# E: -5.536 eV/atom

---

# Er8NiAu2 GGA-PBE relaxed
data_Er8NiAu2
_chemical_formula_sum 'Er8 Ni1 Au2'
_cell_length_a 5.068
_cell_length_b 6.696
_cell_length_c 8.994
_cell_angle_alpha 104.47
_cell_angle_beta 106.36
_cell_angle_gamma 90.00
_symmetry_space_group_name_H-M 'P 1'
_symmetry_Int_Tables_number 1
loop_
_symmetry_equiv_pos_as_xyz
'x,y,z'
loop_
_atom_site_label
_atom_site_fract_x
_atom_site_fract_y
_atom_site_fract_z
Er1 0.342 0.032 0.684
Er2 0.971 0.215 0.943
Er3 0.204 0.316 0.408
Er4 0.796 0.684 0.592
Er5 0.658 0.968 0.316
Er6 0.411 0.562 0.822
Er7 0.589 0.438 0.178
Er8 0.029 0.785 0.057
Au1 0.189 0.729 0.377
Au2 0.811 0.271 0.623
Ni1 0.500 0.000 0.000
# space-group type: C2/m
# E: -4.833 eV/atom

---

# ErNiAu GGA-PBE relaxed
data_ErNiAu
_chemical_formula_sum 'Er2 Ni2 Au2'
_cell_length_a 5.329
_cell_length_b 5.328
_cell_length_c 7.535
_cell_angle_alpha 127.37
_cell_angle_beta 113.27
_cell_angle_gamma 45.51
_symmetry_space_group_name_H-M 'P 1'
_symmetry_Int_Tables_number 1
loop_
_symmetry_equiv_pos_as_xyz
'x,y,z'
loop_
_atom_site_label
_atom_site_fract_x
_atom_site_fract_y
_atom_site_fract_z
Er1 0.243 0.362 0.534
Er2 0.469 0.955 0.899
Au1 0.555 0.505 0.365
Au2 0.158 0.812 0.069
Ni1 0.946 0.103 0.571
Ni2 0.767 0.214 0.862
# space-group type: C2/m
# E: -5.064 eV/atom

---

# Er3NiAu GGA-PBE relaxed
data_Er3NiAu
_chemical_formula_sum 'Er6 Ni2 Au2'
_cell_length_a 5.889
_cell_length_b 5.889
_cell_length_c 8.337
_cell_angle_alpha 67.94
_cell_angle_beta 67.94
_cell_angle_gamma 66.12
_symmetry_space_group_name_H-M 'P 1'
_symmetry_Int_Tables_number 1
loop_
_symmetry_equiv_pos_as_xyz
'x,y,z'
loop_
_atom_site_label
_atom_site_fract_x
_atom_site_fract_y
_atom_site_fract_z
Ni1 0.308 0.692 0.000
Ni2 0.692 0.308 0.000
Er1 0.710 0.710 0.673
Er2 0.679 0.679 0.137
Er3 0.024 0.024 0.773
Er4 0.290 0.290 0.327
Er5 0.321 0.321 0.863
Er6 0.976 0.976 0.227
Au1 0.724 0.276 0.500
Au2 0.276 0.724 0.500
# space-group type: C2/m
# excess energy over the best structure of this formula in the dataset: 0 meV/atom

---

# ErNiAu GGA-PBE relaxed
data_ErNiAu
_chemical_formula_sum 'Er1 Ni1 Au1'
_cell_length_a 4.419
_cell_length_b 4.419
_cell_length_c 4.419
_cell_angle_alpha 60.00
_cell_angle_beta 60.00
_cell_angle_gamma 60.00
_symmetry_space_group_name_H-M 'P 1'
_symmetry_Int_Tables_number 1
loop_
_symmetry_equiv_pos_as_xyz
'x,y,z'
loop_
_atom_site_label
_atom_site_fract_x
_atom_site_fract_y
_atom_site_fract_z
Er1 0.500 0.500 0.500
Au1 0.000 0.000 0.000
Ni1 0.250 0.250 0.250
# space-group type: F-43m
# E: -5.023 eV/atom

---

# Er2Ni9Au GGA-PBE relaxed
data_Er2Ni9Au
_chemical_formula_sum 'Er2 Ni9 Au1'
_cell_length_a 4.911
_cell_length_b 4.911
_cell_length_c 8.443
_cell_angle_alpha 73.09
_cell_angle_beta 73.09
_cell_angle_gamma 60.00
_symmetry_space_group_name_H-M 'P 1'
_symmetry_Int_Tables_number 1
loop_
_symmetry_equiv_pos_as_xyz
'x,y,z'
loop_
_atom_site_label
_atom_site_fract_x
_atom_site_fract_y
_atom_site_fract_z
Ni1 0.417 0.417 0.247
Ni2 0.333 0.333 0.001
Ni3 0.583 0.081 0.753
Ni4 0.667 0.667 0.999
Ni5 0.583 0.583 0.753
Ni6 0.500 0.500 0.500
Ni7 0.417 0.919 0.247
Ni8 0.081 0.583 0.753
Ni9 0.919 0.417 0.247
Au1 0.000 0.000 0.000
Er1 0.866 0.866 0.402
Er2 0.134 0.134 0.598
# space-group type: R-3m
# E: -5.600 eV/atom

---

# Er7Ni2Au2 GGA-PBE relaxed
data_Er7Ni2Au2
_chemical_formula_sum 'Er7 Ni2 Au2'
_cell_length_a 6.580
_cell_length_b 6.844
_cell_length_c 6.580
_cell_angle_alpha 90.00
_cell_angle_beta 108.89
_cell_angle_gamma 90.00
_symmetry_space_group_name_H-M 'P 1'
_symmetry_Int_Tables_number 1
loop_
_symmetry_equiv_pos_as_xyz
'x,y,z'
loop_
_atom_site_label
_atom_site_fract_x
_atom_site_fract_y
_atom_site_fract_z
Er1 0.500 0.754 0.500
Er2 0.500 0.246 0.500
Er3 0.000 0.252 0.500
Er4 0.000 0.000 0.000
Er5 0.000 0.748 0.500
Er6 0.500 0.252 0.000
Er7 0.500 0.748 0.000
Au1 0.190 0.500 0.190
Au2 0.810 0.500 0.810
Ni1 0.292 0.000 0.708
Ni2 0.708 0.000 0.292
# space-group type: Cmmm
# excess energy over the best structure of this formula in the dataset: 140 meV/atom

---

# Er5NiAu4 GGA-PBE relaxed
data_Er5NiAu4
_chemical_formula_sum 'Er5 Ni1 Au4'
_cell_length_a 3.514
_cell_length_b 3.514
_cell_length_c 17.823
_cell_angle_alpha 90.00
_cell_angle_beta 90.00
_cell_angle_gamma 90.00
_symmetry_space_group_name_H-M 'P 1'
_symmetry_Int_Tables_number 1
loop_
_symmetry_equiv_pos_as_xyz
'x,y,z'
loop_
_atom_site_label
_atom_site_fract_x
_atom_site_fract_y
_atom_site_fract_z
Au1 0.000 0.000 0.602
Au2 0.000 0.000 0.807
Au3 0.000 0.000 0.398
Au4 0.000 0.000 0.193
Ni1 0.000 0.000 0.000
Er1 0.500 0.500 0.295
Er2 0.500 0.500 0.705
Er3 0.500 0.500 0.500
Er4 0.500 0.500 0.909
Er5 0.500 0.500 0.091
# space-group type: P4/mmm
# E: -4.957 eV/atom

---

# Er3NiAu2 GGA-PBE relaxed
data_Er3NiAu2
_chemical_formula_sum 'Er12 Ni4 Au8'
_cell_length_a 4.435
_cell_length_b 10.590
_cell_length_c 11.583
_cell_angle_alpha 90.00
_cell_angle_beta 90.00
_cell_angle_gamma 90.00
_symmetry_space_group_name_H-M 'P 1'
_symmetry_Int_Tables_number 1
loop_
_symmetry_equiv_pos_as_xyz
'x,y,z'
loop_
_atom_site_label
_atom_site_fract_x
_atom_site_fract_y
_atom_site_fract_z
Ni1 0.750 0.873 0.874
Ni2 0.750 0.627 0.374
Ni3 0.250 0.127 0.126
Ni4 0.250 0.373 0.626
Au1 0.250 0.992 0.311
Au2 0.750 0.196 0.003
Au3 0.750 0.008 0.689
Au4 0.750 0.304 0.503
Au5 0.250 0.508 0.811
Au6 0.250 0.696 0.497
Au7 0.250 0.804 0.997
Au8 0.750 0.492 0.189
Er1 0.750 0.294 0.764
Er2 0.750 0.561 0.611
Er3 0.750 0.939 0.111
Er4 0.250 0.794 0.736
Er5 0.250 0.706 0.236
Er6 0.750 0.875 0.450
Er7 0.250 0.125 0.550
Er8 0.250 0.061 0.889
Er9 0.750 0.206 0.264
Er10 0.250 0.375 0.050
Er11 0.250 0.439 0.389
Er12 0.750 0.625 0.950
# space-group type: Pnma
# E: -5.033 eV/atom

---

# Er7Ni2Au2 GGA-PBE relaxed
data_Er7Ni2Au2
_chemical_formula_sum 'Er7 Ni2 Au2'
_cell_length_a 3.666
_cell_length_b 9.291
_cell_length_c 9.291
_cell_angle_alpha 60.70
_cell_angle_beta 78.62
_cell_angle_gamma 78.62
_symmetry_space_group_name_H-M 'P 1'
_symmetry_Int_Tables_number 1
loop_
_symmetry_equiv_pos_as_xyz
'x,y,z'
loop_
_atom_site_label
_atom_site_fract_x
_atom_site_fract_y
_atom_site_fract_z
Er1 0.380 0.722 0.519
Er2 0.139 0.117 0.606
Er3 0.620 0.481 0.278
Er4 0.500 0.011 0.989
Er5 0.191 0.713 0.905
Er6 0.861 0.394 0.883
Er7 0.809 0.095 0.287
Au1 0.000 0.766 0.234
Au2 0.500 0.348 0.652
Ni1 0.743 0.860 0.653
Ni2 0.257 0.347 0.140
# space-group type: Imm2
# excess energy over the best structure of this formula in the dataset: 0 meV/atom

---

# Er2Ni12P3Au GGA-PBE relaxed
data_Er2Ni12P3Au
_chemical_formula_sum 'Er2 Ni12 P3 Au1'
_cell_length_a 6.277
_cell_length_b 6.277
_cell_length_c 6.277
_cell_angle_alpha 85.87
_cell_angle_beta 85.87
_cell_angle_gamma 85.87
_symmetry_space_group_name_H-M 'P 1'
_symmetry_Int_Tables_number 1
loop_
_symmetry_equiv_pos_as_xyz
'x,y,z'
loop_
_atom_site_label
_atom_site_fract_x
_atom_site_fract_y
_atom_site_fract_z
Ni1 0.605 0.127 0.605
Ni2 0.395 0.873 0.395
Ni3 0.812 0.812 0.319
Ni4 0.319 0.812 0.812
Ni5 0.395 0.395 0.873
Ni6 0.188 0.188 0.681
Ni7 0.127 0.605 0.605
Ni8 0.605 0.605 0.127
Ni9 0.681 0.188 0.188
Ni10 0.188 0.681 0.188
Ni11 0.812 0.319 0.812
Ni12 0.873 0.395 0.395
Er1 0.297 0.297 0.297
Er2 0.703 0.703 0.703
Au1 0.000 0.000 0.000
P1 0.000 0.000 0.500
P2 0.500 0.000 0.000
P3 0.000 0.500 0.000
# space-group type: R-3m
# E: -5.558 eV/atom

---

# ErNiPdAu GGA-PBE relaxed
data_ErNiPdAu
_chemical_formula_sum 'Er1 Ni1 Pd1 Au1'
_cell_length_a 4.610
_cell_length_b 4.610
_cell_length_c 4.610
_cell_angle_alpha 60.00
_cell_angle_beta 60.00
_cell_angle_gamma 60.00
_symmetry_space_group_name_H-M 'P 1'
_symmetry_Int_Tables_number 1
loop_
_symmetry_equiv_pos_as_xyz
'x,y,z'
loop_
_atom_site_label
_atom_site_fract_x
_atom_site_fract_y
_atom_site_fract_z
Ni1 0.750 0.750 0.750
Au1 0.000 0.000 0.000
Er1 0.500 0.500 0.500
Pd1 0.250 0.250 0.250
# space-group type: F-43m
# E: -5.248 eV/atom